Compound: MnGaO2F
Source: the Alexandria database
Functional: PBE with a Hubbard U
Structure: optimized geometry

a = 3.8552 Å, b = 3.8552 Å, c = 3.8245 Å
α = 90.00°, β = 90.00°, γ = 90.00°
With the nearest neighbours (Å) after each atom.
Fractional coordinates of all 5 atoms:
Mn: 0.0000 0.0000 0.0000  8 O 2.72, 4 F 2.73
Ga: 0.5000 0.5000 0.5000  2 F 1.91, 4 O 1.93
O: 0.0000 0.5000 0.5000  2 Ga 1.93
O: 0.5000 0.0000 0.5000  2 Ga 1.93
F: 0.5000 0.5000 0.0000  2 Ga 1.91

## Properties
uncorrected energy	-30.2	eV/cell